## Zr2OsRh (PBE)

Data for a geometry-optimized Zr2OsRh structure.

The calculation puts the density of states at the Fermi level at 2.67 states/eV/cell. As for the energy: -9.56 eV per atom. As for the spin magnetization: 0.0 Bohr magnetons per cell. The energy of formation from the pure elements is -0.6423 eV per atom. The volume comes out at 71.5 Å³/cell.

The structure belongs to space group P4/mmm (No. 123); the cell edges are 3.2674, 3.2674 and 6.6961 Å and the angles 90.00°, 90.00° and 90.00°. The inequivalent atoms are Zr at (0.0000, 0.0000, 0.2484), Os at (0.5000, 0.5000, 0.0000) and Rh at (0.5000, 0.5000, 0.5000).

---

## ZrOsRh4 (PBE)

Data for a geometry-optimized ZrOsRh4 structure.

The calculation puts the density of states at the Fermi level at 44.37 states/eV/cell. As for the energy: -8.19 eV per atom. As for the spin magnetization: 5.3 Bohr magnetons per cell. The energy of formation from the pure elements is 0.0062 eV per atom. The volume comes out at 378.8 Å³/cell.

The structure belongs to space group F-43m (No. 216); the cell edges are 7.2356, 7.2356 and 7.2356 Å and the angles 90.00°, 90.00° and 90.00°. The inequivalent atoms are Zr at (0.0000, 0.0000, 0.0000), Os at (0.2500, 0.2500, 0.7500) and Rh at (0.1242, 0.1242, 0.3758).

---

## ZrOsRh2 (PBE)

Data for a geometry-optimized ZrOsRh2 structure.

The calculation puts the density of states at the Fermi level at 3.24 states/eV/cell. As for the energy: -8.78 eV per atom. As for the spin magnetization: 0.0 Bohr magnetons per cell. The energy of formation from the pure elements is -0.1581 eV per atom. The volume comes out at 63.3 Å³/cell.

The structure belongs to space group P4/mmm (No. 123); the cell edges are 2.8179, 2.8179 and 7.9655 Å and the angles 90.00°, 90.00° and 90.00°. The inequivalent atoms are Zr at (0.0000, 0.0000, 0.0000), Os at (0.0000, 0.0000, 0.5000) and Rh at (0.5000, 0.5000, 0.2710).

---

Which value of energy does entry 2 give? -8.19 eV per atom

---

Repeat the first record exactly.
## Zr2OsRh (PBE)

Data for a geometry-optimized Zr2OsRh structure.

The calculation puts the density of states at the Fermi level at 2.67 states/eV/cell. As for the energy: -9.56 eV per atom. As for the spin magnetization: 0.0 Bohr magnetons per cell. The energy of formation from the pure elements is -0.6423 eV per atom. The volume comes out at 71.5 Å³/cell.

The structure belongs to space group P4/mmm (No. 123); the cell edges are 3.2674, 3.2674 and 6.6961 Å and the angles 90.00°, 90.00° and 90.00°. The inequivalent atoms are Zr at (0.0000, 0.0000, 0.2484), Os at (0.5000, 0.5000, 0.0000) and Rh at (0.5000, 0.5000, 0.5000).

---

What is the spin magnetization in the second record? 5.3 Bohr magnetons per cell